No. 1
Computed, not measured: a relaxed CeTm4Au5 crystal at the PBE level of DFT.

Lattice parameters (Å, degrees): 3.541 3.541 18.304 90.00 90.00 90.00
Positions (direct):
1 Ce 0.000 0.000 0.000
2 Tm 0.000 0.000 0.206
3 Tm 0.000 0.000 0.402
4 Tm 0.000 0.000 0.598
5 Tm 0.000 0.000 0.794
6 Au 0.500 0.500 0.114
7 Au 0.500 0.500 0.304
8 Au 0.500 0.500 0.500
9 Au 0.500 0.500 0.696
10 Au 0.500 0.500 0.886

Summary:
**DFT total energy**: -4.8565 eV per atom
**ρ**: 13.03 g/cm3
**SG**: No. 123

No. 2
Computed, not measured: a relaxed KAgF2 crystal at the PBE level of DFT.

Lattice parameters (Å, degrees): 4.457 4.457 4.457 60.00 60.00 60.00
Positions (direct):
1 K 0.000 0.000 0.000
2 Ag 0.500 0.500 0.500
3 F 0.250 0.250 0.250
4 F 0.750 0.750 0.750

Summary:
**DFT total energy**: -3.6314 eV per atom
**ρ**: 4.90 g/cm3
**E_form (uncorrected)**: -1.709 eV per atom
**SG**: No. 225